# KVFeO4 (GGA+U, relaxed)
# raw total energy: -46.3 eV/f.u.
# ρ: 3.11 Mg/m³
data_KVFeO4
_chemical_formula_sum 'K2 V2 Fe2 O8'
_cell_length_a 5.530
_cell_length_b 5.948
_cell_length_c 7.117
_cell_angle_alpha 90.00
_cell_angle_beta 106.50
_cell_angle_gamma 90.00
_symmetry_space_group_name_H-M 'P 1 21/m 1'
_symmetry_Int_Tables_number 11
loop_
_symmetry_equiv_pos_as_xyz
'x,y,z'
'-x,-y,-z'
'-x,y+1/2,-z'
'x,-y+1/2,z'
loop_
_atom_site_label
_atom_site_fract_x
_atom_site_fract_y
_atom_site_fract_z
_atom_site_occupancy
K1 0.238 0.250 0.456 1
V1 0.218 0.750 0.138 1
Fe1 0.320 0.250 0.980 1
O1 0.020 0.750 0.289 1
O2 0.024 0.750 0.905 1
O3 0.433 0.521 0.173 1